Material: LiHoTl2
Method: DFT, PBE-GGA
State: relaxed

Lattice parameters (Å, degrees): 3.590 3.590 7.387 90.00 90.00 90.00
Fractional positions:
1 Li 0.000 0.000 0.000
2 Ho 0.000 0.000 0.500
3 Tl 0.500 0.500 0.218
4 Tl 0.500 0.500 0.782

magnetic moment: 0.04 μB/atom
E above lowest polymorph: 24 meV per atom
energy of formation from the pure elements: -0.28 eV/atom
theoretical density: 10.1 Mg/m³
crystal system: tetragonal

---

Material: Li2HoTl2
Method: DFT, PBE-GGA
State: relaxed

Lattice parameters (Å, degrees): 8.173 8.173 3.294 90.00 90.00 90.00
Fractional positions:
1 Li 0.116 0.384 0.000
2 Li 0.384 0.884 0.000
3 Li 0.616 0.116 0.000
4 Li 0.884 0.616 0.000
5 Ho 0.000 0.000 0.000
6 Ho 0.500 0.500 0.000
7 Tl 0.183 0.683 0.500
8 Tl 0.317 0.183 0.500
9 Tl 0.683 0.817 0.500
10 Tl 0.817 0.317 0.500

magnetic moment: 0.00 μB/atom
E above lowest polymorph: 0 meV per atom
energy of formation from the pure elements: -0.21 eV/atom
theoretical density: 8.9 Mg/m³
crystal system: tetragonal

---

Material: Li4HoTl4
Method: DFT, PBE-GGA
State: relaxed

Lattice parameters (Å, degrees): 6.439 6.439 9.809 90.00 90.00 90.00
Fractional positions:
1 Li 0.034 0.250 0.180
2 Li 0.250 0.034 0.680
3 Li 0.250 0.466 0.680
4 Li 0.466 0.250 0.180
5 Li 0.534 0.750 0.820
6 Li 0.750 0.534 0.320
7 Li 0.750 0.966 0.320
8 Li 0.966 0.750 0.820
9 Ho 0.250 0.750 0.250
10 Ho 0.750 0.250 0.750
11 Tl 0.012 0.250 0.467
12 Tl 0.250 0.012 0.967
13 Tl 0.250 0.488 0.967
14 Tl 0.488 0.250 0.467
15 Tl 0.512 0.750 0.533
16 Tl 0.750 0.512 0.033
17 Tl 0.750 0.988 0.033
18 Tl 0.988 0.750 0.533

magnetic moment: 0.00 μB/atom
energy of formation from the pure elements: -0.14 eV/atom
theoretical density: 8.3 Mg/m³
crystal system: tetragonal

---

Material: LiHo7Tl4
Method: DFT, PBE-GGA
State: relaxed

Lattice parameters (Å, degrees): 7.794 7.794 11.122 124.46 124.46 41.44
Fractional positions:
1 Li 0.000 0.000 0.000
2 Ho 0.069 0.069 0.328
3 Ho 0.219 0.219 0.871
4 Ho 0.340 0.340 0.406
5 Ho 0.500 0.500 0.000
6 Ho 0.660 0.660 0.594
7 Ho 0.781 0.781 0.129
8 Ho 0.931 0.931 0.672
9 Tl 0.295 0.295 0.663
10 Tl 0.430 0.430 0.220
11 Tl 0.570 0.570 0.780
12 Tl 0.705 0.705 0.337

magnetic moment: 0.08 μB/atom
energy of formation from the pure elements: 0.00 eV/atom
theoretical density: 9.2 Mg/m³
crystal system: monoclinic

---

Material: Li2Ho2Tl
Method: DFT, PBE-GGA
State: relaxed

Lattice parameters (Å, degrees): 6.092 6.092 9.022 107.94 107.94 49.74
Fractional positions:
1 Li 0.023 0.023 0.366
2 Li 0.141 0.141 0.077
3 Li 0.859 0.859 0.923
4 Li 0.977 0.977 0.634
5 Ho 0.334 0.334 0.442
6 Ho 0.455 0.455 0.154
7 Ho 0.545 0.545 0.846
8 Ho 0.666 0.666 0.558
9 Tl 0.240 0.240 0.783
10 Tl 0.760 0.760 0.217

magnetic moment: 0.00 μB/atom
E above lowest polymorph: 0 meV per atom
energy of formation from the pure elements: -0.07 eV/atom
theoretical density: 7.6 Mg/m³
crystal system: monoclinic

---

Material: Li2Ho3Tl3
Method: DFT, PBE-GGA
State: relaxed

Lattice parameters (Å, degrees): 9.111 9.111 9.111 150.95 149.00 43.00
Fractional positions:
1 Li 0.243 0.243 0.000
2 Li 0.757 0.757 0.000
3 Ho 0.000 0.000 0.000
4 Ho 0.362 0.862 0.500
5 Ho 0.638 0.138 0.500
6 Tl 0.151 0.651 0.500
7 Tl 0.500 0.500 0.000
8 Tl 0.849 0.349 0.500

magnetic moment: 0.05 μB/atom
energy of formation from the pure elements: -0.24 eV/atom
theoretical density: 9.9 Mg/m³
crystal system: orthorhombic